(1)
DFT (PBE) results for Rb2Sb2Pt3 after structural relaxation.

Cell and atoms, written as POSCAR:
```
Rb2Sb2Pt3
1.0
13.539 0.000 0.000
0.000 4.294 0.000
-6.399 0.000 7.152
Rb Sb Pt
4 4 6
direct
0.180 0.000 0.255
0.320 0.500 0.745
0.680 0.500 0.255
0.820 0.000 0.745
0.042 0.500 0.727
0.458 0.000 0.273
0.542 0.000 0.727
0.958 0.500 0.273
0.000 0.000 0.500
0.191 0.000 0.883
0.309 0.500 0.117
0.500 0.500 0.500
0.691 0.500 0.883
0.809 0.000 0.117
```

## Properties
Symmetry: C2/m (12)
Final energy (eV per atom): -4.466
Raw formation energy (eV per atom): -0.42
Total magnetic moment (μB/cell): 0.00

---

(2)
DFT (PBE) results for LaY2Sb2 after structural relaxation.

Cell and atoms, written as POSCAR:
```
LaY2Sb2
1.0
5.208 -6.046 0.000
5.208 6.046 0.000
-3.407 0.000 5.291
La Y Sb
2 4 4
direct
0.108 0.892 0.750
0.892 0.108 0.250
0.226 0.421 0.010
0.421 0.226 0.510
0.579 0.774 0.490
0.774 0.579 0.990
0.177 0.823 0.250
0.379 0.621 0.750
0.621 0.379 0.250
0.823 0.177 0.750
```

## Properties
Symmetry: C2/c (15)
Final energy (eV per atom): -5.945
Energy above the lowest structure with this stoichiometry (meV/atom): 238
Raw formation energy (eV per atom): -0.72
Total magnetic moment (μB/cell): 0.00

---

(3)
DFT (PBE) results for MgBiN3 after structural relaxation.

Cell and atoms, written as POSCAR:
```
MgBiN3
1.0
4.247 0.000 0.000
0.000 4.247 0.000
0.000 0.000 4.247
Mg Bi N
1 1 3
direct
0.000 0.000 0.000
0.500 0.500 0.500
0.000 0.500 0.500
0.500 0.000 0.500
0.500 0.500 0.000
```

## Properties
Symmetry: Pm-3m (221)
Final energy (eV per atom): -4.427
Raw formation energy (eV per atom): 1.66
Total magnetic moment (μB/cell): 0.00

---

(4)
DFT (PBE) results for YTl2InH after structural relaxation.

Cell and atoms, written as POSCAR:
```
YTl2InH
1.0
4.950 0.000 0.000
0.000 4.950 0.000
0.000 0.000 4.551
Y Tl In H
1 2 1 1
direct
0.000 0.000 0.000
0.000 0.500 0.500
0.500 0.000 0.500
0.500 0.500 0.000
0.000 0.000 0.500
```

## Properties
Symmetry: P4/mmm (123)
Final energy (eV per atom): -3.572
Total magnetic moment (μB/cell): 0.00